This record from Alexandria via LeMat-Bulk describes an optimized crystal structure of Sc2InTe2. The functional is PBE-GGA.

## Properties
formation energy (no corrections) = -3.23 eV per formula unit
mass density = 5.9 g/cm³
excess energy over the best structure of this formula in the dataset = 0.44 eV/f.u.

The structure in POSCAR format:
```
Sc2InTe2
1.0
-7.217 1.307 4.069
3.385 -3.126 7.008
1.137 3.343 0.942
Te Sc In
4 4 2
direct
0.854 0.646 0.000
0.354 0.854 0.000
0.646 0.146 0.000
0.146 0.354 0.000
0.144 0.644 0.500
0.856 0.356 0.500
0.644 0.856 0.500
0.356 0.144 0.500
0.500 0.500 0.000
0.000 0.000 0.000
```